# 1
# Sc3HgO

Crystalline Sc3HgO at its relaxed geometry (PBE-GGA, Alexandria).

Lattice parameters (Å, degrees): 11.6747 8.1752 8.1752 79.87 124.27 55.73
Fractional coordinates of all 20 atoms:
Sc 0.0639 0.7246 0.6232
Sc 0.9361 0.2754 0.3768
Sc 0.5639 0.8768 0.7754
Sc 0.9082 0.7829 0.8365
Sc 0.4361 0.1232 0.2246
Sc 0.4082 0.6635 0.7171
Sc 0.0905 0.9544 0.9065
Sc 0.4095 0.4065 0.4544
Sc 0.9095 0.0456 0.0935
Sc 0.5918 0.3365 0.2829
Sc 0.0918 0.2171 0.1635
Sc 0.5905 0.5935 0.5456
Hg 0.5623 0.1622 0.9764
Hg 0.0623 0.5236 0.3378
Hg 0.9377 0.4764 0.6622
Hg 0.4377 0.8378 0.0236
O 0.2500 0.5525 0.0525
O 0.2500 0.8110 0.3110
O 0.7500 0.4475 0.9475
O 0.7500 0.1890 0.6890

Computed properties:
- ΔE to the lowest computed polymorph (meV per atom) = 194
- space group = C2/c (15)
- spin magnetization (μB per formula unit) = 0.00
- E_form (uncorrected) (eV/f.u.) = -6.5

---

# 2
# RbBaSI

Crystalline RbBaSI at its relaxed geometry (PBE-GGA, Alexandria).

Lattice parameters (Å, degrees): 4.7019 4.7023 9.1207 90.00 104.94 120.00
Site moments in Bohr magnetons follow the coordinates.
Fractional coordinates of all 4 atoms:
I 0.9779 0.3872 0.3799  0.01
S 0.2847 0.5401 0.8402  0.05
Ba 0.5047 0.1502 0.6703  0.00
Rb 0.1106 0.9533 0.0792  0.00

Computed properties:
- space group = R3m (160)
- spin magnetization (μB per formula unit) = 0.11
- E_form (uncorrected) (eV/f.u.) = -6.6